This record from the Alexandria database describes a geometry-optimized AcPr2Ho2 structure. The functional is PBE.

Properties
ΔH_f (0 K)	127.1	meV per atom
crystal system	orthorhombic

Lattice parameters (Å, degrees): 3.739 15.688 12.530 90.00 90.00 90.00
Space group Cmc2_1 (No. 36)
Unique sites:
Ac  0.000  0.128  0.000 x4
Pr  0.000  0.201  0.333 x4
Pr  0.000  0.489  0.241 x4
Ho  0.000  0.195  0.634 x4
Ho  0.000  0.435  0.985 x4